## a
The following is a DFT calculation (GGA-PBE) of an optimized crystal structure of BaTlGa3.

Computed properties:
Crystal system: cubic
SG: Pm-3m, No. 221

Structure (extended XYZ):
```
5
Lattice="6.0465 0.0000 0.0000 0.0000 6.0465 0.0000 0.0000 0.0000 6.0465" Properties=species:S:1:pos:R:3 pbc="T T T"
Tl 3.0233 3.0233 3.0233
Ba 0.0000 0.0000 0.0000
Ga 0.0000 3.0233 0.0000
Ga 0.0000 0.0000 3.0233
Ga 3.0233 0.0000 0.0000
```


## b
The following is a DFT calculation (GGA-PBE) of an optimized crystal structure of BaTlGa3.

Computed properties:
Crystal system: cubic
SG: Pm-3m, No. 221

Structure (extended XYZ):
```
5
Lattice="5.4929 0.0000 0.0000 0.0000 5.4929 0.0000 0.0000 0.0000 5.4929" Properties=species:S:1:pos:R:3 pbc="T T T"
Tl 0.0000 0.0000 0.0000
Ba 2.7465 2.7465 2.7465
Ga 0.0000 2.7465 0.0000
Ga 0.0000 0.0000 2.7465
Ga 2.7465 0.0000 0.0000
```


The least stable of the structures above is a, whereas b is the most stable.